Record 1
An optimized crystal structure of SmGaPb2, computed with PBE.

## Properties
Mass density, g cm⁻³: 9.859
Energy above the lowest structure with this stoichiometry, meV per atom: 0.0
DFT formation energy, eV/atom: -0.3615

Cell lengths 4.6897, 4.6897, 4.8589 Å; angles 90.00, 90.00, 90.00 degrees
Space group P4/mmm (No. 123)
Unique sites:
Sm 0.0000 0.0000 0.0000 x1
Ga 0.5000 0.5000 0.0000 x1
Pb 0.0000 0.5000 0.5000 x2

Record 2
An optimized crystal structure of SmGaPb, computed with PBE.

## Properties
Mass density, g cm⁻³: 8.835
Energy above the lowest structure with this stoichiometry, meV per atom: 46.0
DFT formation energy, eV/atom: -0.3985

Cell lengths 4.6128, 16.2672, 4.2810 Å; angles 90.00, 90.00, 90.00 degrees
Space group Cmcm (No. 63)
Unique sites:
Sm 0.0000 0.0886 0.2500 x4
Ga 0.0000 0.4510 0.2500 x4
Pb 0.0000 0.2657 0.7500 x4

Record 3
An optimized crystal structure of SmGa2Pb, computed with PBE.

## Properties
Mass density, g cm⁻³: 8.803
Energy above the lowest structure with this stoichiometry, meV per atom: 0.0
DFT formation energy, eV/atom: -0.4099

Cell lengths 4.6022, 4.6022, 4.4262 Å; angles 90.00, 90.00, 90.00 degrees
Space group P4/mmm (No. 123)
Unique sites:
Sm 0.0000 0.0000 0.0000 x1
Ga 0.0000 0.5000 0.5000 x2
Pb 0.5000 0.5000 0.0000 x1